Entry 1:
HIr2PtRh: relaxed, GGA-PBE.

Cell: 4.686 4.937 4.686 Å, 90.00 90.00 90.00°
Last column: magnetic moment on the atom in μB.
Atoms (fractional coordinates):
H  0.500  0.500  0.500  0.30
Ir  0.000  0.000  0.500  0.21
Ir  0.500  0.000  0.000  0.14
Rh  0.000  0.000  0.000  0.07
Pt  0.000  0.500  0.000  0.09

- magnetization (μB/cell) = 1.19
- polymorph energy (0 for the lowest one) (meV per atom) = 2161
- volume (Å³/atom) = 21.68
- total energy (eV per atom) = -4.59

---

Entry 2:
MgSbCl2: relaxed, GGA-PBE.

Cell: 12.564 12.564 12.564 Å, 15.78 15.78 15.78°
Atoms (fractional coordinates):
Sb  0.000  0.000  0.000
Mg  0.500  0.500  0.500
Cl  0.872  0.872  0.872
Cl  0.128  0.128  0.128

- ΔE_f (raw) (meV per atom) = -1123
- magnetization (μB/cell) = 0.00
- polymorph energy (0 for the lowest one) (meV per atom) = 0
- volume (Å³/atom) = 31.94
- total energy (eV per atom) = -3.48

---

Entry 3:
Zr2RuSe: relaxed, GGA-PBE.

Cell: 6.036 6.036 7.340 Å, 65.72 65.72 90.00°
Atoms (fractional coordinates):
Ru  0.000  0.000  0.000
Ru  0.750  0.250  0.500
Se  0.500  0.500  0.000
Se  0.250  0.750  0.500
Zr  0.650  0.125  0.250
Zr  0.100  0.625  0.250
Zr  0.375  0.350  0.750
Zr  0.875  0.900  0.750

- ΔE_f (raw) (meV per atom) = -34
- magnetization (μB/cell) = 0.00
- volume (Å³/atom) = 27.19
- total energy (eV per atom) = -7.50

---

Entry 4:
Ba2BeW: relaxed, GGA-PBE.

Cell: 6.609 6.609 6.609 Å, 146.84 132.16 59.45°
Atoms (fractional coordinates):
Be  0.436  0.436  0.000
Ba  0.018  0.018  0.000
Ba  0.727  0.227  0.500
W  0.319  0.819  0.500

- magnetization (μB/cell) = 0.02
- ΔH_f (0 K) (kJ/mol of formula units) = 374
- volume (Å³/atom) = 29.00
- total energy (eV per atom) = -4.16

---

Entry 5:
Tm3Sn5S12: relaxed, GGA-PBE.

Cell: 13.727 13.727 13.727 Å, 109.47 109.47 109.47°
Atoms (fractional coordinates):
Tm  0.750  0.375  0.125
Tm  0.875  0.750  0.125
Tm  0.375  0.750  0.625
Tm  0.250  0.125  0.375
Tm  0.875  0.125  0.250
Tm  0.375  0.625  0.250
Tm  0.625  0.375  0.750
Tm  0.125  0.875  0.750
Tm  0.750  0.875  0.625
Tm  0.625  0.250  0.375
Tm  0.125  0.250  0.875
Tm  0.250  0.625  0.875
Sn  0.125  0.375  0.250
Sn  0.000  0.500  0.000
Sn  0.000  0.000  0.000
Sn  0.375  0.250  0.125
Sn  0.500  0.000  0.500
Sn  0.500  0.500  0.000
Sn  0.125  0.750  0.375
Sn  0.750  0.125  0.875
Sn  0.750  0.625  0.375
Sn  0.375  0.125  0.750
Sn  0.625  0.875  0.250
Sn  0.500  0.500  0.500
Sn  0.500  0.000  0.000
Sn  0.000  0.000  0.500
Sn  0.250  0.375  0.625
Sn  0.250  0.875  0.125
Sn  0.000  0.500  0.500
Sn  0.875  0.250  0.625
Sn  0.625  0.750  0.875
Sn  0.875  0.625  0.750
S  0.726  0.140  0.051
S  0.325  0.551  0.411
S  0.949  0.360  0.274
S  0.551  0.226  0.140
S  0.586  0.726  0.675
S  0.949  0.589  0.175
S  0.325  0.774  0.414
S  0.089  0.914  0.140
S  0.589  0.949  0.675
S  0.726  0.586  0.175
S  0.774  0.449  0.360
S  0.825  0.911  0.051
S  0.140  0.726  0.551
S  0.360  0.411  0.086
S  0.086  0.911  0.360
S  0.414  0.140  0.589
S  0.086  0.175  0.226
S  0.449  0.675  0.089
S  0.825  0.914  0.274
S  0.140  0.414  0.089
S  0.360  0.949  0.774
S  0.589  0.640  0.414
S  0.911  0.825  0.551
S  0.774  0.325  0.914
S  0.411  0.360  0.586
S  0.089  0.175  0.449
S  0.226  0.675  0.086
S  0.175  0.086  0.726
S  0.640  0.051  0.226
S  0.860  0.586  0.911
S  0.551  0.325  0.911
S  0.586  0.860  0.411
S  0.914  0.825  0.774
S  0.914  0.089  0.640
S  0.860  0.274  0.449
S  0.175  0.089  0.949
S  0.640  0.589  0.914
S  0.411  0.051  0.325
S  0.274  0.414  0.825
S  0.226  0.551  0.640
S  0.911  0.086  0.860
S  0.675  0.226  0.586
S  0.449  0.774  0.860
S  0.051  0.411  0.825
S  0.414  0.274  0.325
S  0.051  0.640  0.726
S  0.675  0.449  0.589
S  0.274  0.860  0.949

- ΔE_f (raw) (meV per atom) = -859
- magnetization (μB/cell) = 0.00
- volume (Å³/atom) = 24.89
- total energy (eV per atom) = -5.01

---

Entry 6:
Pa2VCoN5: relaxed, GGA-PBE.

Cell: 3.249 6.552 9.897 Å, 90.00 90.00 104.36°
Atoms (fractional coordinates):
Pa  0.854  0.708  0.810
Pa  0.106  0.211  0.681
Pa  0.146  0.292  0.310
Pa  0.894  0.789  0.181
V  0.805  0.611  0.514
V  0.195  0.389  0.014
Co  0.534  0.067  0.952
Co  0.466  0.933  0.452
N  0.367  0.735  0.998
N  0.678  0.356  0.876
N  0.488  0.977  0.769
N  0.282  0.564  0.659
N  0.944  0.888  0.563
N  0.633  0.265  0.498
N  0.322  0.644  0.376
N  0.512  0.023  0.269
N  0.718  0.436  0.159
N  0.056  0.112  0.063

- ΔE_f (raw) (meV per atom) = -1078
- magnetization (μB/cell) = 0.05
- volume (Å³/atom) = 11.34
- total energy (eV per atom) = -9.62